# ZnCSe2 (GGA-PBE, optimized geometry)
data_ZnCSe2
_cell_length_a 4.1516
_cell_length_b 4.1516
_cell_length_c 19.1707
_cell_angle_alpha 90.00
_cell_angle_beta 90.00
_cell_angle_gamma 120.00
_space_group_name_H-M_alt 'R -3 m'
_space_group_IT_number 166
_space_group_name_Hall '-R 3 2"'
loop_
_atom_site_label
_atom_site_fract_x
_atom_site_fract_y
_atom_site_fract_z
Zn1 0.0000 0.0000 0.0000
C1 0.0000 0.0000 0.5000
Se1 0.0000 0.0000 0.4088
# Energy relative to the lowest polymorph listed for this composition, eV per atom: 0.000
# Size of the total moment, μB/f.u.: 0.00
# E_form (uncorrected), eV/atom: 0.6996
# Calculated total energy, eV per atom: -3.667
# DOS at the Fermi energy, states/eV/cell: 4.931